# 1
12
Lattice="6.654 -2.891 0.000 6.654 2.891 0.000 -2.466 0.000 7.721" Properties=species:S:1:pos:R:3 comment="Ho3IrAu2 PBE optimized geometry" formation_enthalpy_0k_ev_per_atom=-0.77 de_polymorph_mev_per_atom=102 n_ef_per_ev_cell=8.5 pbc="T T T"
Ho 4.805 2.878 5.791
Ho 2.409 0.010 7.153
Ho 3.641 -0.010 3.292
Ho 7.202 0.010 4.429
Ho 8.434 -0.010 0.568
Ho 6.038 -2.878 1.930
Ir 6.038 0.012 1.930
Ir 4.805 -0.012 5.791
Au 0.890 0.010 4.539
Au 2.123 -0.010 0.678
Au 8.720 0.010 7.042
Au 9.953 -0.010 3.182

# 2
6
Lattice="0.000 3.735 3.735 3.735 0.000 3.735 3.735 3.735 0.000" Properties=species:S:1:pos:R:3 comment="HoIr4Au PBE optimized geometry" formation_enthalpy_0k_ev_per_atom=-0.25 n_ef_per_ev_cell=7.1 pbc="T T T"
Ho 0.000 0.000 0.000
Ir 2.802 2.802 2.802
Ir 4.667 4.667 2.802
Ir 4.667 2.802 4.667
Ir 2.802 4.667 4.667
Au 5.602 5.602 5.602

# 3
6
Lattice="5.293 0.000 0.000 0.000 4.657 0.000 -2.408 0.000 4.874" Properties=species:S:1:pos:R:3 comment="HoIrAu PBE optimized geometry" formation_enthalpy_0k_ev_per_atom=-0.53 de_polymorph_mev_per_atom=0 n_ef_per_ev_cell=3.7 pbc="T T T"
Ho -0.487 1.164 1.207
Ho 3.373 3.493 3.667
Ir 0.768 3.493 2.686
Ir 2.117 1.164 2.188
Au -0.055 1.164 4.128
Au 2.940 3.493 0.745

# 4
12
Lattice="7.039 0.000 0.000 0.000 6.905 0.000 -0.349 0.000 6.915" Properties=species:S:1:pos:R:3 comment="Ho4IrAu PBE optimized geometry" formation_enthalpy_0k_ev_per_atom=-0.57 n_ef_per_ev_cell=11.9 pbc="T T T"
Ho 1.023 1.128 1.240
Ho 0.848 2.324 4.697
Ho 2.232 4.552 1.027
Ho 2.058 5.806 4.484
Ho 4.633 1.099 2.431
Ho 4.458 2.353 5.888
Ho 5.842 4.581 2.217
Ho 5.668 5.777 5.675
Ir -0.174 0.000 3.457
Ir 0.000 3.452 0.000
Au 3.520 0.000 0.000
Au 3.345 3.452 3.457